[1]
Computed, not measured: crystalline CdHS2Cl at its relaxed geometry at the GGA-PBE level of DFT.

Structure (POSCAR):
```
CdHS2Cl
1.0
3.7954 0.0000 0.0000
0.0000 3.7954 0.0000
0.0000 0.0000 6.0136
Cd H S Cl
1 1 2 1
direct
0.0000 0.0000 0.0000 Cd
0.5000 0.5000 0.5000 H
0.0000 0.5000 0.5000 S
0.5000 0.0000 0.5000 S
0.5000 0.5000 0.0000 Cl
```

## Properties
The magnetic moment comes out at 0.000 μB/atom. The calculation puts the energy relative to the lowest polymorph listed for this composition at 0.00 eV/f.u. The calculation puts the energy at -13.1 eV for the cell shown.



[2]
Computed, not measured: crystalline CdHS2Cl at its relaxed geometry at the GGA-PBE level of DFT.

Structure (POSCAR):
```
CdHS2Cl
1.0
5.2147 0.0000 0.0000
0.0000 5.2147 0.0000
0.0000 0.0000 5.3072
Cd H S Cl
1 1 2 1
direct
0.0000 0.0000 0.0000 Cd
0.5000 0.5000 0.5000 H
0.0000 0.5000 0.0000 S
0.5000 0.0000 0.0000 S
0.0000 0.0000 0.5000 Cl
```

## Properties
The magnetic moment comes out at 0.792 μB/atom. The calculation puts the energy relative to the lowest polymorph listed for this composition at 2.86 eV/f.u. The calculation puts the energy at -10.2 eV for the cell shown.



[3]
Computed, not measured: crystalline CdHSCl2 at its relaxed geometry at the GGA-PBE level of DFT.

Structure (POSCAR):
```
CdHSCl2
1.0
5.2045 0.0000 0.0000
0.0000 5.2045 0.0000
0.0000 0.0000 3.3141
Cd H S Cl
1 1 1 2
direct
0.0000 0.0000 0.0000 Cd
0.5000 0.5000 0.5000 H
0.5000 0.5000 0.0000 S
0.0000 0.5000 0.5000 Cl
0.5000 0.0000 0.5000 Cl
```

## Properties
The magnetic moment comes out at 0.215 μB/atom. The calculation puts the energy relative to the lowest polymorph listed for this composition at 0.00 eV/f.u. The calculation puts the energy at -11.1 eV for the cell shown.



[4]
Computed, not measured: crystalline ZnCdH2Cl at its relaxed geometry at the GGA-PBE level of DFT.

Structure (POSCAR):
```
ZnCdH2Cl
1.0
3.8237 0.0000 0.0000
0.0000 3.8237 0.0000
0.0000 0.0000 5.6214
Zn Cd H Cl
1 1 2 1
direct
0.0000 0.0000 0.0000 Zn
0.5000 0.5000 0.5000 Cd
0.0000 0.5000 0.0000 H
0.5000 0.0000 0.0000 H
0.0000 0.0000 0.5000 Cl
```

## Properties
The magnetic moment comes out at 0.000 μB/atom. The calculation puts the energy at -10.1 eV for the cell shown.



[5]
Computed, not measured: crystalline HfCdCl3 at its relaxed geometry at the GGA-PBE level of DFT.

Structure (POSCAR):
```
HfCdCl3
1.0
5.0448 0.0000 0.0000
0.0000 5.0448 0.0000
0.0000 0.0000 5.0448
Hf Cd Cl
1 1 3
direct
0.0000 0.0000 0.0000 Hf
0.5000 0.5000 0.5000 Cd
0.0000 0.0000 0.5000 Cl
0.0000 0.5000 0.0000 Cl
0.5000 0.0000 0.0000 Cl
```

## Properties
The magnetic moment comes out at 0.000 μB/atom. The calculation puts the energy relative to the lowest polymorph listed for this composition at 0.00 eV/f.u. As for the formation energy from raw total energies: -0.976 eV per atom. The calculation puts the energy at -21.3 eV for the cell shown.



[6]
Computed, not measured: crystalline HfCd3Cl at its relaxed geometry at the GGA-PBE level of DFT.

Structure (POSCAR):
```
HfCd3Cl
1.0
5.1666 0.0000 0.0000
0.0000 5.1666 0.0000
0.0000 0.0000 5.1666
Hf Cd Cl
1 3 1
direct
0.0000 0.0000 0.0000 Hf
0.0000 0.5000 0.5000 Cd
0.5000 0.0000 0.5000 Cd
0.5000 0.5000 0.0000 Cd
0.5000 0.5000 0.5000 Cl
```

## Properties
The magnetic moment comes out at 0.270 μB/atom. The calculation puts the energy relative to the lowest polymorph listed for this composition at 0.69 eV/f.u. As for the formation energy from raw total energies: 0.799 eV per atom. The calculation puts the energy at -10.6 eV for the cell shown.



[7]
Computed, not measured: crystalline HfCdCl at its relaxed geometry at the GGA-PBE level of DFT.

Structure (POSCAR):
```
HfCdCl
1.0
15.6406 0.0000 0.0000
0.0000 1.6067 2.7842
0.0000 -1.6067 2.7842
Hf Cd Cl
2 2 2
direct
0.1630 0.0000 0.0000 Hf
0.8370 0.0000 0.0000 Hf
0.0000 0.6674 0.6674 Cd
0.5000 0.7021 0.7021 Cd
0.2790 0.6667 0.6667 Cl
0.7210 0.6667 0.6667 Cl
```

## Properties
The magnetic moment comes out at 0.000 μB/atom. As for the formation energy from raw total energies: -0.642 eV per atom. The calculation puts the energy at -29.3 eV for the cell shown.



[8]
Computed, not measured: crystalline HfCd2Cl at its relaxed geometry at the GGA-PBE level of DFT.

Structure (POSCAR):
```
HfCd2Cl
1.0
-4.7547 4.7547 2.4823
4.7547 -4.7547 2.4823
4.7547 4.7547 -2.4823
Hf Cd Cl
2 4 2
direct
0.0000 0.0000 0.0000 Hf
0.7500 0.2500 0.5000 Hf
0.0468 0.6250 0.9218 Cd
0.3750 0.2968 0.4218 Cd
0.7032 0.1250 0.0782 Cd
0.8750 0.9532 0.5782 Cd
0.2500 0.7500 0.5000 Cl
0.5000 0.5000 0.0000 Cl
```

## Properties
The magnetic moment comes out at 0.000 μB/atom. The calculation puts the energy relative to the lowest polymorph listed for this composition at 0.00 eV/f.u. As for the formation energy from raw total energies: 0.121 eV per atom. The calculation puts the energy at -26.3 eV for the cell shown.